A plane-wave DFT calculation with GGA-PBEsol was carried out for a relaxed structure of TlSiRu2.

Unit cell a=2.9314 b=3.2272 c=13.7294 alpha=90.00 beta=90.00 gamma=90.00
Closest atoms and distances in Å follow each position.
Space group Imm2 (No. 44)
One atom of each set of equivalent atoms:
Tl (0.0000, 0.0000, 0.0000) x2  6 Ru 2.81-2.87, 2 Tl 2.93
Si (0.0000, 0.5000, 0.2432) x2  6 Ru 2.32-2.37
Ru (0.0000, 0.0000, 0.3643) x2  2 Si 2.32
Ru (0.0000, 0.5000, 0.6746) x2  4 Si 2.37

Properties
* energy relative to the lowest polymorph listed for this composition: 0.0000 eV/atom
* DFT total energy: -57.229 eV for the cell shown
* E_form (uncorrected): 0.0268 eV/atom

=====

A plane-wave DFT calculation with GGA-PBEsol was carried out for a relaxed structure of AgRh.

Unit cell a=3.9562 b=3.9562 c=7.6338 alpha=90.00 beta=90.00 gamma=90.00
Closest atoms and distances in Å follow each position.
Space group I4_1/amd (No. 141, origin choice 2)
One atom of each set of equivalent atoms:
Ag (0.0000, 0.2500, 0.3750) x4  8 Rh 2.75-2.80, 4 Ag 2.75
Rh (0.0000, 0.2500, 0.8750) x4  8 Ag 2.75-2.80, 4 Rh 2.75

Properties
* formation energy from the elements: 0.318 eV per atom
* DFT total energy: -43.251 eV for the cell shown

=====

A plane-wave DFT calculation with GGA-PBEsol was carried out for a relaxed structure of Mn2AlRh.

Unit cell a=2.6296 b=2.6296 c=7.0924 alpha=90.00 beta=90.00 gamma=90.00
Closest atoms and distances in Å follow each position.
Space group P4/mmm (No. 123)
One atom of each set of equivalent atoms:
Mn (0.0000, 0.0000, 0.2478) x2  4 Rh 2.56, 4 Al 2.58, 4 Mn 2.63
Al (0.5000, 0.5000, 0.5000) x1  8 Mn 2.58, 4 Al 2.63
Rh (0.5000, 0.5000, 0.0000) x1  8 Mn 2.56, 4 Rh 2.63

Properties
* formation energy from the elements: -0.095 eV per atom
* DFT total energy: -32.131 eV for the cell shown

=====

A plane-wave DFT calculation with GGA-PBEsol was carried out for a relaxed structure of Ta2AlMo.

Unit cell a=2.7799 b=4.1885 c=5.6997 alpha=90.00 beta=90.00 gamma=90.00
Closest atoms and distances in Å follow each position.
Space group Pmm2 (No. 25)
One atom of each set of equivalent atoms:
Ta (0.0000, 0.0000, 0.0000) x1  6 Ta 2.78-2.94, 2 Al 2.80-2.90, 4 Mo 2.91
Ta (0.5000, 0.5000, 0.2660) x1  2 Mo 2.72-2.98, 6 Ta 2.78-2.94, 4 Al 2.87
Al (0.0000, 0.0000, 0.5081) x1  2 Al 2.78, 6 Ta 2.80-2.90, 4 Mo 2.85
Mo (0.5000, 0.5000, 0.7440) x1  6 Ta 2.72-2.98, 2 Mo 2.78, 4 Al 2.85

Properties
* formation energy from the elements: 0.051 eV per atom
* DFT total energy: -40.758 eV for the cell shown

=====

A plane-wave DFT calculation with GGA-PBEsol was carried out for a relaxed structure of NdAlH6.

Unit cell a=6.3030 b=6.3030 c=6.1087 alpha=90.00 beta=90.00 gamma=120.00
Closest atoms and distances in Å follow each position.
Space group R-3m (No. 166, hexagonal axes)
One atom of each set of equivalent atoms:
Nd (0.0000, 0.0000, 0.0000) x3  12 H 2.32-2.35
Al (0.0000, 0.0000, 0.5000) x3  6 H 1.72
H (0.0912, 0.5456, 0.3480) x18  1 Al 1.72

Properties
* DFT total energy: -94.500 eV for the cell shown

=====

A plane-wave DFT calculation with GGA-PBEsol was carried out for a relaxed structure of LaTiBe2.

Unit cell a=6.5115 b=6.5115 c=6.5115 alpha=90.00 beta=90.00 gamma=90.00
Closest atoms and distances in Å follow each position.
Space group Fm-3m (No. 225)
One atom of each set of equivalent atoms:
La (0.0000, 0.0000, 0.0000) x4  8 Be 2.82
Ti (0.0000, 0.0000, 0.5000) x4  8 Be 2.82
Be (0.2500, 0.2500, 0.2500) x8  4 La 2.82, 4 Ti 2.82

Properties
* formation energy from the elements: 0.345 eV per atom
* DFT total energy: -81.155 eV for the cell shown

=====

A plane-wave DFT calculation with GGA-PBEsol was carried out for a relaxed structure of SmBO3.

Unit cell a=8.7118 b=6.6194 c=4.2966 alpha=90.00 beta=90.00 gamma=90.00
Closest atoms and distances in Å follow each position.
Space group Ama2 (No. 40)
One atom of each set of equivalent atoms:
Sm (0.0000, 0.0000, 0.0000) x4  6 O 2.29-2.39
B (0.2500, 0.1354, 0.5707) x4  3 O 1.37-1.39
O (0.1060, 0.1699, 0.4400) x8  1 B 1.39
O (0.2500, 0.0631, 0.8696) x4  1 B 1.37

Properties
* DFT total energy: -172.008 eV for the cell shown
* E_form (uncorrected): -3.0291 eV/atom

=====

A plane-wave DFT calculation with GGA-PBEsol was carried out for a relaxed structure of RbAgS2.

Unit cell a=5.6675 b=5.6675 c=11.2399 alpha=90.00 beta=90.00 gamma=120.00
Closest atoms and distances in Å follow each position.
Space group R-3m (No. 166, hexagonal axes)
One atom of each set of equivalent atoms:
Rb (0.0000, 0.0000, 0.0000) x3  8 S 3.30-3.32
Ag (0.0000, 0.0000, 0.5000) x3  2 S 2.30
S (0.0000, 0.0000, 0.2957) x6  1 Ag 2.30

Properties
* energy relative to the lowest polymorph listed for this composition: 0.2888 eV/atom
* DFT total energy: -39.938 eV for the cell shown
* E_form (uncorrected): -0.0520 eV/atom

=====

What is the formula in the third record? Mn2AlRh